1.
Below is a relaxed structure of BaLiZn4, with properties calculated at the GGA-PBE level.

a b c (Å): 5.651 5.651 5.651
angles (deg): 60.00 60.00 60.00
Element x y z (fractional)
Zn1 0.628 0.116 0.628
Zn2 0.628 0.628 0.116
Zn3 0.116 0.628 0.628
Zn4 0.628 0.628 0.628
Li1 0.000 0.000 0.000
Ba1 0.250 0.250 0.250

Values from the calculation:
Crystal system: cubic
D(E_F) (states/eV per atom): 0.32
Energy relative to the elements (meV/atom): -122
SG: No. 216
Excess energy over the best structure of this formula in the dataset (meV/atom): 0.0
Total moment (μB per cell): 0.00
Theoretical density (g cm⁻³): 5.281

=====

2.
Below is a relaxed structure of TmInIO6, with properties calculated at the GGA-PBE level.

a b c (Å): 5.536 5.536 9.184
angles (deg): 90.00 90.00 120.00
Element x y z (fractional)
O1 0.360 0.031 0.130
O2 0.640 0.671 0.630
O3 0.969 0.329 0.130
O4 0.031 0.671 0.870
O5 0.671 0.031 0.370
O6 0.640 0.969 0.870
O7 0.969 0.640 0.370
O8 0.671 0.640 0.130
O9 0.360 0.329 0.370
O10 0.329 0.969 0.630
O11 0.329 0.360 0.870
O12 0.031 0.360 0.630
I1 0.333 0.667 0.750
I2 0.667 0.333 0.250
In1 0.000 0.000 0.000
In2 0.000 0.000 0.500
Tm1 0.667 0.333 0.750
Tm2 0.333 0.667 0.250

Values from the calculation:
Crystal system: trigonal
D(E_F) (states/eV per atom): 0.45
SG: No. 163
Formation energy (no corrections) (eV/atom): -1.439
Total moment (μB per cell): 0.00
Theoretical density (g cm⁻³): 6.904

=====

3.
Below is a relaxed structure of Tl3Hg2Br8, with properties calculated at the GGA-PBE level.

a b c (Å): 7.762 9.657 8.739
angles (deg): 123.54 107.82 90.00
Element x y z (fractional)
Br1 0.734 0.356 0.713
Br2 0.266 0.644 0.287
Br3 0.752 0.866 0.261
Br4 0.752 0.395 0.261
Br5 0.248 0.605 0.739
Br6 0.248 0.134 0.739
Br7 0.202 0.120 0.241
Br8 0.798 0.880 0.759
Tl1 0.000 0.729 0.000
Tl2 0.500 0.000 0.000
Tl3 0.000 0.271 0.000
Hg1 0.626 0.673 0.346
Hg2 0.374 0.327 0.654

Values from the calculation:
Crystal system: monoclinic
D(E_F) (states/eV per atom): 0.59
SG: No. 12
Formation energy (no corrections) (eV/atom): -0.567
Excess energy over the best structure of this formula in the dataset (meV/atom): 0.0
Total moment (μB per cell): 0.00
Theoretical density (g cm⁻³): 5.406

=====

4.
Below is a relaxed structure of Co3OsI, with properties calculated at the GGA-PBE level.

a b c (Å): 4.620 4.620 4.620
angles (deg): 90.00 90.00 90.00
Site moments in Bohr magnetons follow the coordinates.
Element x y z (fractional)
Co1 0.500 0.000 0.000  1.08
Co2 0.000 0.000 0.500  1.76
Co3 0.000 0.500 0.000  1.55
I1 0.500 0.500 0.500  0.12
Os1 0.000 0.000 0.000  0.29

Values from the calculation:
Crystal system: cubic
D(E_F) (states/eV per atom): 1.63
SG: No. 221
Formation energy (no corrections) (eV/atom): 1.483
Excess energy over the best structure of this formula in the dataset (meV/atom): 0.0
Total moment (μB per cell): 4.95
Theoretical density (g cm⁻³): 8.317

=====

5.
Below is a relaxed structure of Tl3BiAu8, with properties calculated at the GGA-PBE level.

a b c (Å): 5.690 5.690 10.018
angles (deg): 73.50 73.50 60.00
Element x y z (fractional)
Au1 0.687 0.687 0.938
Au2 0.187 0.187 0.438
Au3 0.437 0.437 0.192
Au4 0.441 0.938 0.683
Au5 0.437 0.934 0.192
Au6 0.938 0.938 0.683
Au7 0.934 0.437 0.192
Au8 0.938 0.441 0.683
Bi1 0.879 0.879 0.363
Tl1 0.497 0.497 0.509
Tl2 0.372 0.372 0.884
Tl3 0.003 0.003 0.991

Values from the calculation:
Crystal system: trigonal
D(E_F) (states/eV per atom): 0.43
Energy relative to the elements (meV/atom): -4
SG: No. 160
Total moment (μB per cell): 0.00
Theoretical density (g cm⁻³): 15.006

=====

6.
Below is a relaxed structure of Cs3Fe2AgCl8, with properties calculated at the GGA-PBE level.

a b c (Å): 7.424 7.424 9.673
angles (deg): 90.00 90.00 120.00
Site moments in Bohr magnetons follow the coordinates.
Element x y z (fractional)
Cl1 0.667 0.333 0.007  0.08
Cl2 0.333 0.667 0.993  0.08
Cl3 0.665 0.833 0.318  0.07
Cl4 0.167 0.833 0.318  0.07
Cl5 0.335 0.167 0.682  0.07
Cl6 0.833 0.167 0.682  0.07
Cl7 0.833 0.665 0.682  0.07
Cl8 0.167 0.335 0.318  0.07
Fe1 0.333 0.667 0.225  3.38
Fe2 0.667 0.333 0.775  3.38
Cs1 0.333 0.667 0.642  0.00
Cs2 0.667 0.333 0.358  0.00
Cs3 0.000 0.000 0.000  0.00
Ag1 0.000 0.000 0.500  0.04

Values from the calculation:
Crystal system: trigonal
D(E_F) (states/eV per atom): 0.95
SG: No. 164
Formation energy (no corrections) (eV/atom): -1.244
Total moment (μB per cell): 8.00
Theoretical density (g cm⁻³): 3.243

=====

7.
Below is a relaxed structure of Li2YSnTe4, with properties calculated at the GGA-PBE level.

a b c (Å): 4.299 7.577 7.456
angles (deg): 109.87 90.00 90.00
Element x y z (fractional)
Sn1 0.000 0.000 0.000
Te1 0.500 0.746 0.741
Te2 0.500 0.254 0.259
Te3 0.000 0.755 0.256
Te4 0.000 0.245 0.744
Y1 0.500 0.500 0.000
Li1 0.000 0.500 0.500
Li2 0.500 0.000 0.500

Values from the calculation:
Crystal system: monoclinic
D(E_F) (states/eV per atom): 0.22
SG: No. 10
Formation energy (no corrections) (eV/atom): -0.882
Total moment (μB per cell): 0.00
Theoretical density (g cm⁻³): 5.322

=====

8.
Below is a relaxed structure of TbNpRu2, with properties calculated at the GGA-PBE level.

a b c (Å): 4.919 6.551 10.170
angles (deg): 90.00 90.00 90.00
Site moments in Bohr magnetons follow the coordinates.
Element x y z (fractional)
Ru1 0.750 0.608 0.642  -0.30
Ru2 0.250 0.751 0.525  -0.29
Ru3 0.250 0.892 0.142  -0.30
Ru4 0.750 0.249 0.475  -0.29
Ru5 0.750 0.749 0.025  -0.29
Ru6 0.750 0.108 0.858  -0.30
Ru7 0.250 0.392 0.358  -0.30
Ru8 0.250 0.251 0.975  -0.29
Tb1 0.250 0.328 0.664  0.10
Tb2 0.250 0.828 0.836  0.10
Tb3 0.750 0.172 0.164  0.10
Tb4 0.750 0.672 0.336  0.10
Np1 0.750 0.470 0.885  2.40
Np2 0.250 0.530 0.115  2.40
Np3 0.250 0.030 0.385  2.40
Np4 0.750 0.970 0.615  2.40

Values from the calculation:
Crystal system: orthorhombic
D(E_F) (states/eV per atom): 1.66
Energy relative to the elements (meV/atom): -191
SG: No. 62
Total moment (μB per cell): 8.01
Theoretical density (g cm⁻³): 12.121

=====

Which value of D(E_F) does entry 6 give?
0.95 states/eV per atom

=====

D(E_F) of number 7 (Li2YSnTe4)?
0.22 states/eV per atom

=====

Please write out number 4 again, unchanged.
Below is a relaxed structure of Co3OsI, with properties calculated at the GGA-PBE level.

a b c (Å): 4.620 4.620 4.620
angles (deg): 90.00 90.00 90.00
Site moments in Bohr magnetons follow the coordinates.
Element x y z (fractional)
Co1 0.500 0.000 0.000  1.08
Co2 0.000 0.000 0.500  1.76
Co3 0.000 0.500 0.000  1.55
I1 0.500 0.500 0.500  0.12
Os1 0.000 0.000 0.000  0.29

Values from the calculation:
Crystal system: cubic
D(E_F) (states/eV per atom): 1.63
SG: No. 221
Formation energy (no corrections) (eV/atom): 1.483
Excess energy over the best structure of this formula in the dataset (meV/atom): 0.0
Total moment (μB per cell): 4.95
Theoretical density (g cm⁻³): 8.317

=====

Number 7 is which compound?
Li2YSnTe4